Crystalline SrAgBr4 at its relaxed geometry. Source: Alexandria via LeMat-Bulk, functional PBE-GGA.

The structure in POSCAR format:
```
SrAgBr4
1.0
7.685 -3.775 0.000
7.685 3.775 0.000
-3.588 0.000 6.652
Sr Ag Br
2 2 8
Cartesian
4.994 1.928 4.989
6.788 -1.928 1.663
3.843 1.887 0.000
2.049 -1.887 3.326
-0.598 0.518 4.565
1.196 -0.518 1.239
2.517 0.553 6.421
4.310 -0.553 3.095
7.472 0.553 3.557
9.266 -0.553 0.231
10.587 0.518 5.413
12.381 -0.518 2.087
```

raw formation energy: -1132.1 meV/atom
E_tot: -36.0 eV for the cell shown
magnetic moment: 0.000 μB/f.u.

=====

Crystalline Sr2AgBr at its relaxed geometry. Source: Alexandria via LeMat-Bulk, functional PBE-GGA.

The structure in POSCAR format:
```
Sr2AgBr
1.0
3.976 0.000 0.000
0.000 4.131 0.000
0.000 0.000 8.734
Sr Ag Br
2 1 1
Cartesian
0.000 0.000 1.867
0.000 0.000 6.867
1.988 2.065 0.000
1.988 0.000 4.367
```

raw formation energy: -839.2 meV/atom
E_tot: -11.2 eV for the cell shown
magnetic moment: 0.000 μB/f.u.

=====

Crystalline SrTcAg2Br at its relaxed geometry. Source: Alexandria via LeMat-Bulk, functional PBE-GGA.

The structure in POSCAR format:
```
SrTcAg2Br
1.0
5.203 0.000 0.000
0.000 5.203 0.000
0.000 0.000 5.698
Sr Tc Ag Br
1 1 2 1
Cartesian
0.000 0.000 0.000
2.602 2.602 0.000
0.000 2.602 2.849
2.602 0.000 2.849
0.000 0.000 2.849
```

raw formation energy: 954.0 meV/atom
E_tot: -14.7 eV for the cell shown
magnetic moment: 3.612 μB/f.u.

=====

Question: Among the records above, which one has the highest E_tot?
Answer: Sr2AgBr

=====

Question: Among the records above, which one has the lowest raw formation energy?
Answer: SrAgBr4

=====

Question: What is the magnetic moment in the second record?
Answer: 0.000 μB/f.u.

=====

Question: Which of these has the highest raw formation energy?
Answer: SrTcAg2Br